Below is an optimized crystal structure of Be3SnOs, with properties calculated at the PBE-GGA level.

Cell: 4.3026 4.3026 4.3026 Å, 90.00 90.00 90.00°
With the nearest neighbours (Å) after each atom.
Space group Pm-3m (No. 221)
Asymmetric unit:
Be 0.0000 0.0000 0.5000  2 Os 2.15
Sn 0.5000 0.5000 0.5000  12 Be 3.04
Os 0.0000 0.0000 0.0000  6 Be 2.15

* formation energy from the elements: 551 meV/atom
* total DFT energy (no corrections): -4.7310 eV/atom
* energy above the most stable polymorph in this dataset: 0.000 eV/f.u.